1.
# Y2TaPbN (GGA-PBE, relaxed)
data_Y2TaPbN
_cell_length_a 5.0131
_cell_length_b 5.0131
_cell_length_c 4.1511
_cell_angle_alpha 90.00
_cell_angle_beta 90.00
_cell_angle_gamma 90.00
_symmetry_space_group_name_H-M 'P 1'
_symmetry_Int_Tables_number 1
_symmetry_space_group_name_Hall 'P 1'
loop_
_atom_site_label
_atom_site_type_symbol
_atom_site_fract_x
_atom_site_fract_y
_atom_site_fract_z
_atom_site_occupancy
Y1 Y 0.0000 0.5000 0.0000 1
Y2 Y 0.5000 0.0000 0.0000 1
Ta1 Ta 0.0000 0.0000 0.5000 1
N1 N 0.0000 0.0000 0.0000 1
Pb1 Pb 0.5000 0.5000 0.5000 1
# Formation energy without anion corrections in eV per atom: -0.693
# Raw total energy in eV per atom: -8.06
# Symmetry: P4/mmm

2.
# RbBi3Pt (GGA-PBE, relaxed)
data_RbBi3Pt
_cell_length_a 5.6215
_cell_length_b 5.6215
_cell_length_c 5.6215
_cell_angle_alpha 90.00
_cell_angle_beta 90.00
_cell_angle_gamma 90.00
_symmetry_space_group_name_H-M 'P 1'
_symmetry_Int_Tables_number 1
_symmetry_space_group_name_Hall 'P 1'
loop_
_atom_site_label
_atom_site_type_symbol
_atom_site_fract_x
_atom_site_fract_y
_atom_site_fract_z
_atom_site_occupancy
Bi1 Bi 0.0000 0.0000 0.5000 1
Bi2 Bi 0.5000 0.0000 0.0000 1
Bi3 Bi 0.0000 0.5000 0.0000 1
Pt1 Pt 0.0000 0.0000 0.0000 1
Rb1 Rb 0.5000 0.5000 0.5000 1
# Relative energy among the computed polymorphs in meV/atom: 280.4
# Energy of formation from the pure elements in kJ/mol of formula units: 18
# Raw total energy in eV per atom: -3.69
# Symmetry: Pm-3m

3.
# Ni2Hg2Sb (GGA-PBE, relaxed)
data_Ni2Hg2Sb
_cell_length_a 6.7347
_cell_length_b 6.7347
_cell_length_c 3.9648
_cell_angle_alpha 90.00
_cell_angle_beta 90.00
_cell_angle_gamma 90.00
_symmetry_space_group_name_H-M 'P 1'
_symmetry_Int_Tables_number 1
_symmetry_space_group_name_Hall 'P 1'
loop_
_atom_site_label
_atom_site_type_symbol
_atom_site_fract_x
_atom_site_fract_y
_atom_site_fract_z
_atom_site_occupancy
Sb1 Sb 0.0000 0.0000 0.0000 1
Sb2 Sb 0.5000 0.5000 0.0000 1
Hg1 Hg 0.1561 0.6561 0.5000 1
Hg2 Hg 0.3439 0.1561 0.5000 1
Hg3 Hg 0.6561 0.8439 0.5000 1
Hg4 Hg 0.8439 0.3439 0.5000 1
Ni1 Ni 0.3574 0.8574 0.0000 1
Ni2 Ni 0.8574 0.6426 0.0000 1
Ni3 Ni 0.6426 0.1426 0.0000 1
Ni4 Ni 0.1426 0.3574 0.0000 1
# Formation energy without anion corrections in eV per atom: 0.154
# Raw total energy in eV per atom: -3.10
# Symmetry: P4/mbm

4.
# CaBi3H (GGA-PBE, relaxed)
data_CaBi3H
_cell_length_a 5.0357
_cell_length_b 5.0357
_cell_length_c 5.0357
_cell_angle_alpha 90.00
_cell_angle_beta 90.00
_cell_angle_gamma 90.00
_symmetry_space_group_name_H-M 'P 1'
_symmetry_Int_Tables_number 1
_symmetry_space_group_name_Hall 'P 1'
loop_
_atom_site_label
_atom_site_type_symbol
_atom_site_fract_x
_atom_site_fract_y
_atom_site_fract_z
_atom_site_occupancy
H1 H 0.0000 0.0000 0.0000 1
Bi1 Bi 0.5000 0.0000 0.0000 1
Bi2 Bi 0.0000 0.0000 0.5000 1
Bi3 Bi 0.0000 0.5000 0.0000 1
Ca1 Ca 0.5000 0.5000 0.5000 1
# Relative energy among the computed polymorphs in meV/atom: 0.0
# Raw total energy in eV per atom: -3.48
# Symmetry: Pm-3m

5.
# Y4AlAgHg2 (GGA-PBE, relaxed)
data_Y4AlAgHg2
_cell_length_a 5.2083
_cell_length_b 5.2083
_cell_length_c 9.0367
_cell_angle_alpha 73.25
_cell_angle_beta 73.25
_cell_angle_gamma 60.00
_symmetry_space_group_name_H-M 'P 1'
_symmetry_Int_Tables_number 1
_symmetry_space_group_name_Hall 'P 1'
loop_
_atom_site_label
_atom_site_type_symbol
_atom_site_fract_x
_atom_site_fract_y
_atom_site_fract_z
_atom_site_occupancy
Y1 Y 0.3755 0.3755 0.8736 1
Y2 Y 0.1254 0.1254 0.6239 1
Y3 Y 0.8746 0.8746 0.3761 1
Y4 Y 0.6245 0.6245 0.1264 1
Al1 Al 0.5000 0.5000 0.5000 1
Ag1 Ag 0.0000 0.0000 0.0000 1
Hg1 Hg 0.7497 0.7497 0.7508 1
Hg2 Hg 0.2503 0.2503 0.2492 1
# Energy of formation from the pure elements in kJ/mol of formula units: -331
# Raw total energy in eV per atom: -4.56
# Symmetry: R-3m

6.
# Ac2Pm9Tm (GGA-PBE, relaxed)
data_Ac2Pm9Tm
_cell_length_a 5.2194
_cell_length_b 5.2194
_cell_length_c 15.6513
_cell_angle_alpha 90.00
_cell_angle_beta 90.00
_cell_angle_gamma 90.00
_symmetry_space_group_name_H-M 'P 1'
_symmetry_Int_Tables_number 1
_symmetry_space_group_name_Hall 'P 1'
loop_
_atom_site_label
_atom_site_type_symbol
_atom_site_fract_x
_atom_site_fract_y
_atom_site_fract_z
_atom_site_occupancy
Pm1 Pm 0.0000 0.5000 0.1594 1
Pm2 Pm 0.0000 0.5000 0.5000 1
Pm3 Pm 0.5000 0.0000 0.8406 1
Pm4 Pm 0.5000 0.0000 0.5000 1
Pm5 Pm 0.0000 0.5000 0.8406 1
Pm6 Pm 0.5000 0.5000 0.6704 1
Pm7 Pm 0.5000 0.5000 0.3296 1
Pm8 Pm 0.5000 0.0000 0.1594 1
Pm9 Pm 0.5000 0.5000 0.0000 1
Ac1 Ac 0.0000 0.0000 0.3302 1
Ac2 Ac 0.0000 0.0000 0.6698 1
Tm1 Tm 0.0000 0.0000 0.0000 1
# Energy of formation from the pure elements in kJ/mol of formula units: 36
# Raw total energy in eV per atom: -4.59
# Symmetry: P4/mmm

7.
# AcCe2Ru (GGA-PBE, relaxed)
data_AcCe2Ru
_cell_length_a 3.9869
_cell_length_b 3.9869
_cell_length_c 9.4516
_cell_angle_alpha 77.82
_cell_angle_beta 77.82
_cell_angle_gamma 60.00
_symmetry_space_group_name_H-M 'P 1'
_symmetry_Int_Tables_number 1
_symmetry_space_group_name_Hall 'P 1'
loop_
_atom_site_label
_atom_site_type_symbol
_atom_site_fract_x
_atom_site_fract_y
_atom_site_fract_z
_atom_site_occupancy
Ac1 Ac 0.5012 0.5012 0.4965 1
Ce1 Ce 0.2779 0.2779 0.1664 1
Ce2 Ce 0.0558 0.0558 0.8325 1
Ru1 Ru 0.6651 0.6651 0.0047 1
# Relative energy among the computed polymorphs in meV/atom: 74.5
# Energy of formation from the pure elements in kJ/mol of formula units: -42
# Raw total energy in eV per atom: -6.42
# Symmetry: R3m

8.
# Li2ErCl4 (GGA-PBE, relaxed)
data_Li2ErCl4
_cell_length_a 6.5125
_cell_length_b 6.5125
_cell_length_c 6.5125
_cell_angle_alpha 104.68
_cell_angle_beta 104.68
_cell_angle_gamma 119.54
_symmetry_space_group_name_H-M 'P 1'
_symmetry_Int_Tables_number 1
_symmetry_space_group_name_Hall 'P 1'
loop_
_atom_site_label
_atom_site_type_symbol
_atom_site_fract_x
_atom_site_fract_y
_atom_site_fract_z
_atom_site_occupancy
Cl1 Cl 0.8090 0.3854 0.1945 1
Cl2 Cl 0.3854 0.1910 0.5764 1
Cl3 Cl 0.6146 0.8090 0.4236 1
Cl4 Cl 0.1910 0.6146 0.8055 1
Li1 Li 0.7500 0.2500 0.5000 1
Li2 Li 0.2500 0.7500 0.5000 1
Er1 Er 0.5000 0.5000 0.0000 1
# Formation energy without anion corrections in eV per atom: -1.709
# Raw total energy in eV per atom: -3.96
# Symmetry: I4/m

9.
# Ta12H5Pt3 (GGA-PBE, relaxed)
data_Ta12H5Pt3
_cell_length_a 11.6005
_cell_length_b 11.6005
_cell_length_c 11.6005
_cell_angle_alpha 109.47
_cell_angle_beta 109.47
_cell_angle_gamma 109.47
_symmetry_space_group_name_H-M 'P 1'
_symmetry_Int_Tables_number 1
_symmetry_space_group_name_Hall 'P 1'
loop_
_atom_site_label
_atom_site_type_symbol
_atom_site_fract_x
_atom_site_fract_y
_atom_site_fract_z
_atom_site_occupancy
H1 H 0.3750 0.2500 0.1250 1
H2 H 0.6250 0.7500 0.8750 1
H3 H 0.8750 0.6250 0.7500 1
H4 H 0.0000 0.0000 0.5000 1
H5 H 0.5000 0.0000 0.0000 1
H6 H 0.0000 0.5000 0.0000 1
H7 H 0.8750 0.2500 0.6250 1
H8 H 0.1250 0.7500 0.3750 1
H9 H 0.5000 0.5000 0.5000 1
H10 H 0.0000 0.0000 0.0000 1
H11 H 0.2500 0.3750 0.6250 1
H12 H 0.1250 0.3750 0.2500 1
H13 H 0.0000 0.5000 0.5000 1
H14 H 0.6250 0.8750 0.2500 1
H15 H 0.5000 0.0000 0.5000 1
H16 H 0.7500 0.1250 0.8750 1
H17 H 0.7500 0.6250 0.3750 1
H18 H 0.3750 0.1250 0.7500 1
H19 H 0.2500 0.8750 0.1250 1
H20 H 0.5000 0.5000 0.0000 1
Ta1 Ta 0.5851 0.6888 0.6780 1
Ta2 Ta 0.6888 0.1038 0.0108 1
Ta3 Ta 0.3112 0.8962 0.9892 1
Ta4 Ta 0.0930 0.1781 0.4892 1
Ta5 Ta 0.3962 0.9892 0.8112 1
Ta6 Ta 0.1888 0.6780 0.0851 1
Ta7 Ta 0.3962 0.4070 0.0851 1
Ta8 Ta 0.6038 0.5930 0.9149 1
Ta9 Ta 0.3220 0.5108 0.4070 1
Ta10 Ta 0.8962 0.5851 0.9070 1
Ta11 Ta 0.4070 0.3962 0.5851 1
Ta12 Ta 0.8220 0.9149 0.3112 1
Ta13 Ta 0.1781 0.0851 0.6888 1
Ta14 Ta 0.4070 0.0108 0.3220 1
Ta15 Ta 0.4149 0.3112 0.3220 1
Ta16 Ta 0.4892 0.8112 0.8962 1
Ta17 Ta 0.4149 0.1038 0.5930 1
Ta18 Ta 0.8962 0.3112 0.4892 1
Ta19 Ta 0.6780 0.1888 0.5851 1
Ta20 Ta 0.3220 0.8112 0.4149 1
Ta21 Ta 0.9070 0.8220 0.5108 1
Ta22 Ta 0.6780 0.4892 0.5930 1
Ta23 Ta 0.9070 0.0851 0.8962 1
Ta24 Ta 0.0108 0.4070 0.8220 1
Ta25 Ta 0.4892 0.6780 0.0930 1
Ta26 Ta 0.6888 0.5851 0.1781 1
Ta27 Ta 0.8220 0.9070 0.0108 1
Ta28 Ta 0.5108 0.1888 0.1038 1
Ta29 Ta 0.0930 0.9149 0.1038 1
Ta30 Ta 0.9149 0.8220 0.8112 1
Ta31 Ta 0.1781 0.0930 0.9892 1
Ta32 Ta 0.1888 0.5108 0.6038 1
Ta33 Ta 0.0851 0.9070 0.3962 1
Ta34 Ta 0.3112 0.4149 0.8220 1
Ta35 Ta 0.9149 0.0930 0.6038 1
Ta36 Ta 0.5930 0.9892 0.6780 1
Ta37 Ta 0.5930 0.6038 0.4149 1
Ta38 Ta 0.0108 0.6038 0.6888 1
Ta39 Ta 0.8112 0.4892 0.3962 1
Ta40 Ta 0.1038 0.4149 0.0930 1
Ta41 Ta 0.9892 0.3962 0.3112 1
Ta42 Ta 0.5851 0.8962 0.4070 1
Ta43 Ta 0.0851 0.1781 0.1888 1
Ta44 Ta 0.9892 0.5930 0.1781 1
Ta45 Ta 0.1038 0.6888 0.5108 1
Ta46 Ta 0.6038 0.0108 0.1888 1
Ta47 Ta 0.8112 0.3220 0.9149 1
Ta48 Ta 0.5108 0.3220 0.9070 1
Pt1 Pt 0.3750 0.7500 0.6250 1
Pt2 Pt 0.2500 0.6250 0.8750 1
Pt3 Pt 0.1250 0.2500 0.8750 1
Pt4 Pt 0.8750 0.7500 0.1250 1
Pt5 Pt 0.3750 0.6250 0.2500 1
Pt6 Pt 0.7500 0.8750 0.6250 1
Pt7 Pt 0.7500 0.3750 0.1250 1
Pt8 Pt 0.6250 0.3750 0.7500 1
Pt9 Pt 0.2500 0.1250 0.3750 1
Pt10 Pt 0.1250 0.8750 0.7500 1
Pt11 Pt 0.8750 0.1250 0.2500 1
Pt12 Pt 0.6250 0.2500 0.3750 1
# Raw total energy in eV per atom: -8.77
# Symmetry: Ia-3d

10.
# Sm5Dy4Y3 (GGA-PBE, relaxed)
data_Sm5Dy4Y3
_cell_length_a 5.9064
_cell_length_b 8.6638
_cell_length_c 9.6711
_cell_angle_alpha 105.97
_cell_angle_beta 72.22
_cell_angle_gamma 70.07
_symmetry_space_group_name_H-M 'P 1'
_symmetry_Int_Tables_number 1
_symmetry_space_group_name_Hall 'P 1'
loop_
_atom_site_label
_atom_site_type_symbol
_atom_site_fract_x
_atom_site_fract_y
_atom_site_fract_z
_atom_site_occupancy
Sm1 Sm 0.7871 0.5392 0.8867 1
Sm2 Sm 0.3747 0.0498 0.2007 1
Sm3 Sm 0.6253 0.9502 0.7993 1
Sm4 Sm 0.2129 0.4608 0.1133 1
Sm5 Sm 0.5000 0.5000 0.5000 1
Y1 Y 0.0000 0.5000 0.5000 1
Y2 Y 0.4804 0.3112 0.7280 1
Y3 Y 0.5196 0.6888 0.2720 1
Dy1 Dy 0.1628 0.0525 0.6220 1
Dy2 Dy 0.8372 0.9475 0.3780 1
Dy3 Dy 0.1403 0.7786 0.9407 1
Dy4 Dy 0.8597 0.2214 0.0593 1
# Relative energy among the computed polymorphs in meV/atom: 219.3
# Energy of formation from the pure elements in kJ/mol of formula units: 272
# Raw total energy in eV per atom: -4.88
# Symmetry: C2/m

no.,M_tot (Bohr magnetons per cell)
1,0.00
2,0.00
3,0.00
4,0.00
5,0.00
6,0.00
7,0.33
8,1.00
9,0.00
10,0.23